Density functional theory data (GGA-PBE) for a relaxed structure of Er3Cd2In3.

POSCAR file:
```
Er3Cd2In3
1.0
8.906 0.000 0.000
-4.453 7.713 0.000
0.000 0.000 5.970
Er Cd In
6 4 6
Direct
0.000 0.237 0.250
0.000 0.763 0.750
0.237 0.000 0.250
0.237 0.237 0.750
0.763 0.000 0.750
0.763 0.763 0.250
0.333 0.667 0.000
0.333 0.667 0.500
0.667 0.333 0.000
0.667 0.333 0.500
0.000 0.400 0.750
0.000 0.600 0.250
0.400 0.000 0.750
0.400 0.400 0.250
0.600 0.000 0.250
0.600 0.600 0.750
```

Results
- calculated total energy (eV per atom) = -3.221
- N(E_F) (states/eV/f.u.) = 4.47
- calculated formation energy (eV/atom) = -0.254

Density functional theory data (GGA-PBE) for a relaxed structure of Er2CdIn.

POSCAR file:
```
Er2CdIn
1.0
0.000 3.717 3.717
3.717 0.000 3.717
3.717 3.717 0.000
Er Cd In
2 1 1
Direct
0.250 0.250 0.250
0.750 0.750 0.750
0.000 0.000 0.000
0.500 0.500 0.500
```

Results
- calculated total energy (eV per atom) = -3.586
- N(E_F) (states/eV/f.u.) = 3.89
- calculated formation energy (eV/atom) = -0.391

Density functional theory data (GGA-PBE) for a relaxed structure of Er6CdIn5.

POSCAR file:
```
Er6CdIn5
1.0
2.647 -7.953 0.000
2.647 7.953 0.000
0.000 0.000 7.372
Er Cd In
6 1 5
Direct
0.000 0.000 0.250
0.000 0.000 0.750
0.333 0.667 0.249
0.333 0.667 0.751
0.667 0.333 0.249
0.667 0.333 0.751
0.500 0.500 0.000
0.164 0.836 0.000
0.167 0.833 0.500
0.500 0.500 0.500
0.833 0.167 0.500
0.836 0.164 0.000
```

Results
- calculated total energy (eV per atom) = -3.928
- N(E_F) (states/eV/f.u.) = 7.15
- calculated formation energy (eV/atom) = -0.429